Record 1
SrCo2Ni after structural relaxation. Source: the Alexandria database, functional PBE-GGA.

a b c (Å): 5.2823 9.2320 2.8049
angles (deg): 90.00 113.24 90.00
Closest atoms and distances in Å follow each position.
Positions (direct):
Sr 0.0000 0.0000 0.0000  2 Ni 2.64, 4 Co 2.75, 2 Sr 2.80
Sr 0.5000 0.5000 0.0000  2 Ni 2.64, 4 Co 2.75, 2 Sr 2.80
Co 0.2500 0.2500 0.5000  4 Co 2.64-2.80, 2 Ni 2.75, 2 Sr 2.75
Co 0.2500 0.7500 0.5000  4 Co 2.64-2.80, 2 Ni 2.75, 2 Sr 2.75
Co 0.7500 0.2500 0.5000  4 Co 2.64-2.80, 2 Ni 2.75, 2 Sr 2.75
Co 0.7500 0.7500 0.5000  4 Co 2.64-2.80, 2 Ni 2.75, 2 Sr 2.75
Ni 0.0000 0.5000 0.0000  2 Sr 2.64, 4 Co 2.75, 2 Ni 2.80
Ni 0.5000 0.0000 0.0000  2 Sr 2.64, 4 Co 2.75, 2 Ni 2.80

Computed properties:
Formation enthalpy at 0 K   776 meV/atom
Fermi-level density of states   1.437 states/eV per atom

=====

Record 2
SrCoNi2 after structural relaxation. Source: the Alexandria database, functional PBE-GGA.

a b c (Å): 2.9192 3.3033 6.7821
angles (deg): 90.00 90.00 90.00
Closest atoms and distances in Å follow each position.
Positions (direct):
Sr 0.0000 0.0000 0.0000  2 Sr 2.92, 4 Ni 3.08, 4 Co 3.18
Co 0.5000 0.5000 0.3377  5 Ni 2.34-2.45
Ni 0.0000 0.0000 0.4965  4 Co 2.45, 4 Ni 2.54
Ni 0.5000 0.5000 0.6832  1 Co 2.34, 4 Ni 2.54

Computed properties:
Formation enthalpy at 0 K   415 meV/atom
Fermi-level density of states   1.230 states/eV per atom

=====

Record 3
Sr2CoNi after structural relaxation. Source: the Alexandria database, functional PBE-GGA.

a b c (Å): 4.0658 4.3079 14.0198
angles (deg): 90.00 90.00 90.00
Closest atoms and distances in Å follow each position.
Positions (direct):
Sr 0.0000 0.0000 0.0000  2 Co 3.01, 4 Ni 3.21
Sr 0.0000 0.5000 0.2600  2 Ni 3.04, 4 Co 3.22
Sr 0.5000 0.0000 0.7600  2 Ni 3.04, 4 Co 3.22
Sr 0.5000 0.5000 0.5000  2 Co 3.01, 4 Ni 3.21
Co 0.0000 0.5000 0.8501  2 Ni 2.21
Co 0.5000 0.0000 0.3501  2 Ni 2.21
Ni 0.0000 0.0000 0.4126  2 Co 2.21
Ni 0.5000 0.5000 0.9126  2 Co 2.21

Computed properties:
E above lowest polymorph   0.079 eV/atom
Formation enthalpy at 0 K   212 meV/atom
Fermi-level density of states   1.057 states/eV per atom

=====

Record 4
SrTlCo2Ni after structural relaxation. Source: the Alexandria database, functional PBE-GGA.

a b c (Å): 4.8977 4.8977 4.8442
angles (deg): 90.00 90.00 90.00
Closest atoms and distances in Å follow each position.
Positions (direct):
Sr 0.0000 0.0000 0.0000  2 Ni 2.42, 4 Co 2.45
Tl 0.5000 0.5000 0.5000  8 Co 3.44, 4 Ni 3.46
Co 0.0000 0.5000 0.0000  2 Sr 2.45
Co 0.5000 0.0000 0.0000  2 Sr 2.45
Ni 0.0000 0.0000 0.5000  2 Sr 2.42

Computed properties:
Formation enthalpy at 0 K   1811 meV/atom
Fermi-level density of states   1.343 states/eV per atom

=====

Record 5
SrCoNi2W after structural relaxation. Source: the Alexandria database, functional PBE-GGA.

a b c (Å): 4.5650 4.5650 5.5415
angles (deg): 90.00 90.00 90.00
Closest atoms and distances in Å follow each position.
Positions (direct):
Sr 0.0000 0.0000 0.0000  2 W 2.77
Co 0.5000 0.5000 0.0000  4 Sr 3.23, 8 Ni 3.59
Ni 0.0000 0.5000 0.5000  2 W 2.28
Ni 0.5000 0.0000 0.5000  2 W 2.28
W 0.0000 0.0000 0.5000  4 Ni 2.28

Computed properties:
Formation enthalpy at 0 K   1706 meV/atom
Fermi-level density of states   1.438 states/eV per atom

=====

Record 6
TaCo2Ni4 after structural relaxation. Source: the Alexandria database, functional PBE-GGA.

a b c (Å): 5.9845 4.8514 4.8017
angles (deg): 76.62 52.06 51.31
Closest atoms and distances in Å follow each position.
Positions (direct):
Ta 0.0000 0.0000 0.0000  2 Co 2.53, 6 Ni 2.60-2.82
Co 0.2968 0.2968 0.7032  6 Ni 2.36-2.43, 2 Co 2.45, 1 Ta 2.53
Co 0.7032 0.7032 0.2968  6 Ni 2.36-2.43, 2 Co 2.45, 1 Ta 2.53
Ni 0.2500 0.2500 0.2500  6 Ni 2.32-2.48, 4 Co 2.43
Ni 0.3097 0.6903 0.3097  2 Co 2.36, 6 Ni 2.48-2.53, 1 Ta 2.60
Ni 0.6903 0.3097 0.6903  2 Co 2.36, 6 Ni 2.48-2.53, 1 Ta 2.60
Ni 0.7500 0.7500 0.7500  6 Ni 2.32-2.48, 4 Co 2.43

Computed properties:
Formation enthalpy at 0 K   -35 meV/atom
Fermi-level density of states   1.238 states/eV per atom